VASP calculation (PBE) on a geometry-optimized Li4B4Sb2SO16 structure.

## Properties
Energy in eV/cell: -356.02
ΔE_f (raw) in eV per formula unit: -51.9

a b c (Å): 9.399 9.399 9.787
angles (deg): 117.75 117.75 91.74
Element x y z (fractional)
Li (0.952, 0.048, 0.500)
Li (0.953, 0.453, 0.500)
Li (0.703, 0.703, 0.000)
Li (0.702, 0.298, 0.000)
Li (0.548, 0.452, 0.500)
Li (0.547, 0.047, 0.500)
Li (0.297, 0.297, 0.000)
Li (0.298, 0.702, 0.000)
B (0.889, 0.076, 0.162)
B (0.978, 0.665, 0.338)
B (0.924, 0.111, 0.838)
B (0.915, 0.728, 0.838)
B (0.335, 0.022, 0.662)
B (0.326, 0.639, 0.662)
B (0.272, 0.085, 0.162)
B (0.361, 0.674, 0.338)
Sb (0.125, 0.875, 0.750)
Sb (0.625, 0.875, 0.750)
Sb (0.125, 0.875, 0.250)
Sb (0.125, 0.375, 0.250)
S (0.500, 0.500, 0.000)
S (0.750, 0.250, 0.500)
O (0.019, 0.058, 0.292)
O (0.557, 0.690, 0.111)
O (0.743, 0.943, 0.013)
O (0.980, 0.680, 0.487)
O (0.057, 0.257, 0.987)
O (0.976, 0.799, 0.315)
O (0.310, 0.443, 0.889)
O (0.554, 0.421, 0.111)
O (0.484, 0.661, 0.685)
O (0.930, 0.730, 0.987)
O (0.977, 0.516, 0.208)
O (0.579, 0.446, 0.889)
O (0.942, 0.981, 0.708)
O (0.766, 0.727, 0.708)
O (0.911, 0.234, 0.185)
O (0.201, 0.024, 0.685)
O (0.049, 0.726, 0.815)
O (0.339, 0.516, 0.315)
O (0.484, 0.023, 0.792)
O (0.308, 0.769, 0.792)
O (0.671, 0.304, 0.611)
O (0.273, 0.234, 0.292)
O (0.320, 0.020, 0.513)
O (0.766, 0.089, 0.815)
O (0.696, 0.329, 0.389)
O (0.940, 0.307, 0.611)
O (0.274, 0.951, 0.185)
O (0.193, 0.493, 0.513)
O (0.270, 0.070, 0.013)
O (0.507, 0.807, 0.487)
O (0.693, 0.060, 0.389)
O (0.231, 0.692, 0.208)